[1]
# Si2NiOs

An optimized crystal structure of Si2NiOs (PBE-GGA, the Alexandria database).

## Properties
Raw total energy (eV/cell): -57.4
D(E_F) (states/eV/f.u.): 1.02

The structure in CIF format:
```
data_Si2NiOs
_chemical_formula_sum 'Si4 Ni2 Os2'
_cell_length_a 3.8042
_cell_length_b 3.8187
_cell_length_c 6.8324
_cell_angle_alpha 90.00
_cell_angle_beta 90.00
_cell_angle_gamma 90.00
_space_group_name_H-M_alt 'P 1'
_space_group_IT_number 1
loop_
_space_group_symop_operation_xyz
'x,y,z'
loop_
_atom_site_label
_atom_site_type_symbol
_atom_site_fract_x
_atom_site_fract_y
_atom_site_fract_z
_atom_site_occupancy
Si1 Si 0.0000 0.0000 0.2504 1
Si2 Si 0.0000 0.0000 0.7496 1
Si3 Si 0.5000 0.5000 0.2496 1
Si4 Si 0.5000 0.5000 0.7504 1
Ni1 Ni 0.0000 0.5000 0.0000 1
Ni2 Ni 0.5000 0.0000 0.5000 1
Os1 Os 0.0000 0.5000 0.5000 1
Os2 Os 0.5000 0.0000 0.0000 1
```

=====

[2]
# SiNiOs

An optimized crystal structure of SiNiOs (PBE-GGA, the Alexandria database).

## Properties
Raw total energy (eV/cell): -91.8
D(E_F) (states/eV/f.u.): 1.69

The structure in CIF format:
```
data_SiNiOs
_chemical_formula_sum 'Si4 Ni4 Os4'
_cell_length_a 5.5001
_cell_length_b 5.5001
_cell_length_c 5.5001
_cell_angle_alpha 90.00
_cell_angle_beta 90.00
_cell_angle_gamma 90.00
_space_group_name_H-M_alt 'P 1'
_space_group_IT_number 1
loop_
_space_group_symop_operation_xyz
'x,y,z'
loop_
_atom_site_label
_atom_site_type_symbol
_atom_site_fract_x
_atom_site_fract_y
_atom_site_fract_z
_atom_site_occupancy
Si1 Si 0.0000 0.0000 0.0000 1
Si2 Si 0.0000 0.5000 0.5000 1
Si3 Si 0.5000 0.0000 0.5000 1
Si4 Si 0.5000 0.5000 0.0000 1
Ni1 Ni 0.2500 0.2500 0.7500 1
Ni2 Ni 0.2500 0.7500 0.2500 1
Ni3 Ni 0.7500 0.2500 0.2500 1
Ni4 Ni 0.7500 0.7500 0.7500 1
Os1 Os 0.2500 0.2500 0.2500 1
Os2 Os 0.2500 0.7500 0.7500 1
Os3 Os 0.7500 0.2500 0.7500 1
Os4 Os 0.7500 0.7500 0.2500 1
```

=====

[3]
# SiNi3Os

An optimized crystal structure of SiNi3Os (PBE-GGA, the Alexandria database).

## Properties
Raw total energy (eV/cell): -26.6
D(E_F) (states/eV/f.u.): 7.11

The structure in CIF format:
```
data_SiNi3Os
_chemical_formula_sum 'Si1 Ni3 Os1'
_cell_length_a 4.4971
_cell_length_b 4.4971
_cell_length_c 4.4971
_cell_angle_alpha 90.00
_cell_angle_beta 90.00
_cell_angle_gamma 90.00
_space_group_name_H-M_alt 'P 1'
_space_group_IT_number 1
loop_
_space_group_symop_operation_xyz
'x,y,z'
loop_
_atom_site_label
_atom_site_type_symbol
_atom_site_fract_x
_atom_site_fract_y
_atom_site_fract_z
_atom_site_occupancy
Si1 Si 0.0000 0.0000 0.0000 1
Ni1 Ni 0.0000 0.5000 0.5000 1
Ni2 Ni 0.5000 0.0000 0.5000 1
Ni3 Ni 0.5000 0.5000 0.0000 1
Os1 Os 0.5000 0.5000 0.5000 1
```

=====

[4]
# SiNiOs2

An optimized crystal structure of SiNiOs2 (PBE-GGA, the Alexandria database).

## Properties
Raw total energy (eV/cell): -130.8
D(E_F) (states/eV/f.u.): 4.66

The structure in CIF format:
```
data_SiNiOs2
_chemical_formula_sum 'Si4 Ni4 Os8'
_cell_length_a 5.9715
_cell_length_b 5.9715
_cell_length_c 5.9715
_cell_angle_alpha 90.00
_cell_angle_beta 90.00
_cell_angle_gamma 90.00
_space_group_name_H-M_alt 'P 1'
_space_group_IT_number 1
loop_
_space_group_symop_operation_xyz
'x,y,z'
loop_
_atom_site_label
_atom_site_type_symbol
_atom_site_fract_x
_atom_site_fract_y
_atom_site_fract_z
_atom_site_occupancy
Si1 Si 0.0000 0.0000 0.0000 1
Si2 Si 0.0000 0.5000 0.5000 1
Si3 Si 0.5000 0.0000 0.5000 1
Si4 Si 0.5000 0.5000 0.0000 1
Ni1 Ni 0.2500 0.2500 0.7500 1
Ni2 Ni 0.2500 0.7500 0.2500 1
Ni3 Ni 0.7500 0.2500 0.2500 1
Ni4 Ni 0.7500 0.7500 0.7500 1
Os1 Os 0.0000 0.0000 0.5000 1
Os2 Os 0.0000 0.5000 0.0000 1
Os3 Os 0.2500 0.2500 0.2500 1
Os4 Os 0.2500 0.7500 0.7500 1
Os5 Os 0.5000 0.0000 0.0000 1
Os6 Os 0.5000 0.5000 0.5000 1
Os7 Os 0.7500 0.2500 0.7500 1
Os8 Os 0.7500 0.7500 0.2500 1
```

=====

[5]
# SiNiOs

An optimized crystal structure of SiNiOs (PBE-GGA, the Alexandria database).

## Properties
Raw total energy (eV/cell): -22.9
D(E_F) (states/eV/f.u.): 3.89

The structure in CIF format:
```
data_SiNiOs
_chemical_formula_sum 'Si1 Ni1 Os1'
_cell_length_a 3.9438
_cell_length_b 3.9438
_cell_length_c 2.7568
_cell_angle_alpha 90.00
_cell_angle_beta 90.00
_cell_angle_gamma 120.00
_space_group_name_H-M_alt 'P 1'
_space_group_IT_number 1
loop_
_space_group_symop_operation_xyz
'x,y,z'
loop_
_atom_site_label
_atom_site_type_symbol
_atom_site_fract_x
_atom_site_fract_y
_atom_site_fract_z
_atom_site_occupancy
Si1 Si 0.0000 0.0000 0.0000 1
Ni1 Ni 0.6667 0.3333 0.0041 1
Os1 Os 0.3333 0.6667 0.5044 1
```

=====

[6]
# Si2NiOs

An optimized crystal structure of Si2NiOs (PBE-GGA, the Alexandria database).

## Properties
Raw total energy (eV/cell): -28.3
D(E_F) (states/eV/f.u.): 2.56

The structure in CIF format:
```
data_Si2NiOs
_chemical_formula_sum 'Si2 Ni1 Os1'
_cell_length_a 2.7912
_cell_length_b 3.7386
_cell_length_c 4.9530
_cell_angle_alpha 90.00
_cell_angle_beta 90.00
_cell_angle_gamma 90.00
_space_group_name_H-M_alt 'P 1'
_space_group_IT_number 1
loop_
_space_group_symop_operation_xyz
'x,y,z'
loop_
_atom_site_label
_atom_site_type_symbol
_atom_site_fract_x
_atom_site_fract_y
_atom_site_fract_z
_atom_site_occupancy
Si1 Si 0.0000 0.0000 0.2425 1
Si2 Si 0.0000 0.0000 0.7575 1
Ni1 Ni 0.0000 0.5000 0.5000 1
Os1 Os 0.5000 0.5000 0.0000 1
```

=====

[7]
# Si2NiOs

An optimized crystal structure of Si2NiOs (PBE-GGA, the Alexandria database).

## Properties
Raw total energy (eV/cell): -107.2
D(E_F) (states/eV/f.u.): 3.24

The structure in CIF format:
```
data_Si2NiOs
_chemical_formula_sum 'Si8 Ni4 Os4'
_cell_length_a 5.9182
_cell_length_b 5.9182
_cell_length_c 5.9182
_cell_angle_alpha 90.00
_cell_angle_beta 90.00
_cell_angle_gamma 90.00
_space_group_name_H-M_alt 'P 1'
_space_group_IT_number 1
loop_
_space_group_symop_operation_xyz
'x,y,z'
loop_
_atom_site_label
_atom_site_type_symbol
_atom_site_fract_x
_atom_site_fract_y
_atom_site_fract_z
_atom_site_occupancy
Si1 Si 0.0000 0.0000 0.0000 1
Si2 Si 0.0000 0.5000 0.5000 1
Si3 Si 0.2500 0.2500 0.2500 1
Si4 Si 0.2500 0.7500 0.7500 1
Si5 Si 0.5000 0.0000 0.5000 1
Si6 Si 0.5000 0.5000 0.0000 1
Si7 Si 0.7500 0.2500 0.7500 1
Si8 Si 0.7500 0.7500 0.2500 1
Ni1 Ni 0.2500 0.2500 0.7500 1
Ni2 Ni 0.2500 0.7500 0.2500 1
Ni3 Ni 0.7500 0.2500 0.2500 1
Ni4 Ni 0.7500 0.7500 0.7500 1
Os1 Os 0.0000 0.0000 0.5000 1
Os2 Os 0.0000 0.5000 0.0000 1
Os3 Os 0.5000 0.0000 0.0000 1
Os4 Os 0.5000 0.5000 0.5000 1
```

=====

[8]
# SiNiOs2

An optimized crystal structure of SiNiOs2 (PBE-GGA, the Alexandria database).

## Properties
Raw total energy (eV/cell): -115.4
D(E_F) (states/eV/f.u.): 4.96

The structure in CIF format:
```
data_SiNiOs2
_chemical_formula_sum 'Si4 Ni4 Os8'
_cell_length_a 5.6394
_cell_length_b 5.6394
_cell_length_c 9.3135
_cell_angle_alpha 90.00
_cell_angle_beta 90.00
_cell_angle_gamma 90.00
_space_group_name_H-M_alt 'P 1'
_space_group_IT_number 1
loop_
_space_group_symop_operation_xyz
'x,y,z'
loop_
_atom_site_label
_atom_site_type_symbol
_atom_site_fract_x
_atom_site_fract_y
_atom_site_fract_z
_atom_site_occupancy
Si1 Si 0.0000 0.0000 0.0000 1
Si2 Si 0.0000 0.5000 0.2500 1
Si3 Si 0.5000 0.0000 0.7500 1
Si4 Si 0.5000 0.5000 0.5000 1
Ni1 Ni 0.0000 0.0000 0.5000 1
Ni2 Ni 0.0000 0.5000 0.7500 1
Ni3 Ni 0.5000 0.0000 0.2500 1
Ni4 Ni 0.5000 0.5000 0.0000 1
Os1 Os 0.2453 0.2500 0.6250 1
Os2 Os 0.2500 0.7453 0.8750 1
Os3 Os 0.2500 0.7547 0.3750 1
Os4 Os 0.2547 0.2500 0.1250 1
Os5 Os 0.7453 0.7500 0.1250 1
Os6 Os 0.7500 0.2453 0.3750 1
Os7 Os 0.7500 0.2547 0.8750 1
Os8 Os 0.7547 0.7500 0.6250 1
```